Crystalline Zr2Ag2Hg at its relaxed geometry, computed with PBE.

Values from the calculation:
Polymorph energy (0 for the lowest one), meV/atom: 0.0
Crystal system: orthorhombic
N(E_F), states/eV/f.u.: 3.0
SG: Cmmm (65)

Cell lengths 2.952, 4.668, 7.646 Å; angles 107.75, 90.00, 90.00 degrees
Fractional coordinates of all 5 atoms:
Ag 0.000 0.800 0.600
Ag 0.000 0.200 0.400
Zr 0.500 0.613 0.226
Zr 0.500 0.387 0.774
Hg 0.000 0.000 0.000